# 1
A geometry-optimized Cd2NiH6Rh structure, computed with GGA-PBE.

```
10
Lattice="4.760 0.000 0.000 1.963 4.343 0.000 1.933 1.239 4.256" Properties=species:S:1:pos:R:3 pbc="T T T"
Cd 2.101 1.393 1.086
Cd 6.556 4.189 3.171
Ni 0.000 0.000 0.000
H 3.124 3.604 1.060
H 3.157 2.065 3.303
H 4.258 4.228 3.202
H 4.399 1.354 1.054
H 5.500 3.517 0.954
H 5.533 1.978 3.196
Rh 4.329 2.791 2.128
```

Summary:
Uncorrected energy, eV/atom: -3.41

=====

# 2
A geometry-optimized CdNi2HRu structure, computed with GGA-PBE.

```
5
Lattice="3.912 0.000 0.000 0.000 3.912 0.000 0.000 0.000 3.783" Properties=species:S:1:pos:R:3 pbc="T T T"
Cd 0.000 0.000 0.000
Ni 0.000 1.956 1.892
Ni 1.956 0.000 1.892
H 1.956 1.956 1.892
Ru 1.956 1.956 0.000
```

Summary:
Uncorrected energy, eV/atom: -4.84

=====

# 3
A geometry-optimized CdNiH2S structure, computed with GGA-PBE.

```
5
Lattice="3.576 0.000 0.000 0.000 3.576 0.000 0.000 0.000 4.718" Properties=species:S:1:pos:R:3 pbc="T T T"
Cd 0.000 0.000 0.000
Ni 1.788 1.788 0.000
H 0.000 1.788 2.359
H 1.788 0.000 2.359
S 1.788 1.788 2.359
```

Summary:
Uncorrected energy, eV/atom: -3.14

=====

# 4
A geometry-optimized SrCdNi2H8 structure, computed with GGA-PBE.

```
12
Lattice="4.551 0.000 0.000 -2.275 3.941 0.000 0.000 0.000 6.626" Properties=species:S:1:pos:R:3 pbc="T T T"
Sr 0.000 0.000 0.000
Cd 0.000 0.000 3.313
Ni 0.000 2.627 4.474
Ni 2.275 1.314 2.152
H -1.398 2.605 2.056
H 0.000 2.627 5.994
H 0.718 1.428 2.056
H 1.596 0.092 4.571
H 0.679 3.849 2.056
H 1.557 2.513 4.571
H 2.275 1.314 0.632
H 3.673 1.336 4.571
```

Summary:
Uncorrected energy, eV/atom: -3.36

=====

# 5
A geometry-optimized Sr2CdNiH6 structure, computed with GGA-PBE.

```
10
Lattice="3.893 -3.903 0.000 3.893 3.903 0.000 -3.879 0.000 3.914" Properties=species:S:1:pos:R:3 pbc="T T T"
Sr 3.893 1.948 0.000
Sr 3.893 -1.948 0.000
Cd -1.940 0.000 1.957
Ni 1.953 0.000 1.957
H 1.953 1.678 1.957
H 1.957 0.000 0.273
H 0.279 0.000 1.967
H 3.628 0.000 1.947
H 1.949 0.000 3.641
H 1.953 -1.678 1.957
```

Summary:
Uncorrected energy, eV/atom: -3.32

=====

# 6
A geometry-optimized Sr2CdNiH structure, computed with GGA-PBE.

```
5
Lattice="5.509 0.000 0.000 0.000 5.509 0.000 0.000 0.000 3.724" Properties=species:S:1:pos:R:3 pbc="T T T"
Sr 0.000 2.755 0.000
Sr 2.755 0.000 0.000
Cd 0.000 0.000 1.862
Ni 2.755 2.755 1.862
H 2.755 2.755 0.000
```

Summary:
Uncorrected energy, eV/atom: -2.84

=====

# 7
A geometry-optimized Ti2CdNiH structure, computed with GGA-PBE.

```
5
Lattice="4.122 0.000 0.000 0.000 4.122 0.000 0.000 0.000 3.874" Properties=species:S:1:pos:R:3 pbc="T T T"
Ti 0.000 2.061 0.000
Ti 2.061 0.000 0.000
Cd 0.000 0.000 1.937
Ni 2.061 2.061 1.937
H 2.061 2.061 0.000
```

Summary:
Uncorrected energy, eV/atom: -5.32

=====

# 8
A geometry-optimized V2CdNiH structure, computed with GGA-PBE.

```
5
Lattice="3.755 0.000 0.000 0.000 3.755 0.000 0.000 0.000 4.196" Properties=species:S:1:pos:R:3 pbc="T T T"
V 0.000 1.877 0.000
V 1.877 0.000 0.000
Cd 0.000 0.000 2.098
Ni 1.877 1.877 2.098
H 1.877 1.877 0.000
```

Summary:
Uncorrected energy, eV/atom: -5.56

=====

# 9
A geometry-optimized Y2CdNiH structure, computed with GGA-PBE.

```
5
Lattice="5.070 0.000 0.000 0.000 5.070 0.000 0.000 0.000 3.615" Properties=species:S:1:pos:R:3 pbc="T T T"
Y 0.000 2.535 0.000
Y 2.535 0.000 0.000
Cd 0.000 0.000 1.808
Ni 2.535 2.535 1.808
H 2.535 2.535 0.000
```

Summary:
Uncorrected energy, eV/atom: -4.96

=====

# 10
A geometry-optimized Zn2CdNiH structure, computed with GGA-PBE.

```
5
Lattice="4.347 0.000 0.000 0.000 4.347 0.000 0.000 0.000 3.349" Properties=species:S:1:pos:R:3 pbc="T T T"
Zn 0.000 2.173 0.000
Zn 2.173 0.000 0.000
Cd 0.000 0.000 1.674
Ni 2.173 2.173 1.674
H 2.173 2.173 0.000
```

Summary:
Uncorrected energy, eV/atom: -2.43

=====

# 11
A geometry-optimized NpCdH2O6 structure, computed with GGA-PBE.

```
10
Lattice="5.188 0.000 0.000 2.208 4.814 0.000 2.155 1.825 5.082" Properties=species:S:1:pos:R:3 pbc="T T T"
Np 0.000 0.000 0.000
Cd 4.775 3.320 2.541
H 3.105 1.547 1.246
H 6.446 5.093 3.836
O 2.917 3.124 3.943
O 3.721 4.896 1.146
O 5.466 5.007 3.848
O 4.084 1.633 1.234
O 5.830 1.744 3.936
O 6.634 3.515 1.139
```

Summary:
Uncorrected energy, eV/atom: -6.56

=====

# 12
A geometry-optimized NpCd2HO6 structure, computed with GGA-PBE.

```
20
Lattice="4.584 0.000 0.000 0.000 5.772 0.000 0.000 0.000 9.827" Properties=species:S:1:pos:R:3 pbc="T T T"
Np 0.000 0.000 0.000
Np 2.292 2.886 4.914
Cd 0.000 2.886 1.712
Cd 0.000 2.886 8.115
Cd 2.292 0.000 3.201
Cd 2.292 0.000 6.626
H 0.000 0.000 4.914
H 2.292 2.886 0.000
O 1.005 0.800 4.914
O 1.059 0.773 1.418
O 1.059 0.773 8.410
O 1.233 3.659 3.496
O 1.233 3.659 6.331
O 1.287 3.686 0.000
O 3.297 2.086 0.000
O 3.351 2.113 3.496
O 3.351 2.113 6.331
O 3.525 4.999 1.418
O 3.525 4.999 8.410
O 3.580 4.972 4.914
```

Summary:
Uncorrected energy, eV/atom: -6.36